Entry 1:
Below is a relaxed Sc6Si3C crystal, with properties calculated at the PBE level.

```
Sc6Si3C
1.0
5.750 0.000 0.088
0.000 7.244 0.000
0.180 0.000 9.168
Sc Si C
12 6 2
Direct
0.670 0.160 0.944
0.632 0.208 0.560
0.630 0.451 0.267
0.370 0.549 0.733
0.368 0.792 0.440
0.330 0.840 0.056
0.170 0.340 0.444
0.132 0.292 0.060
0.130 0.049 0.767
0.870 0.951 0.233
0.868 0.708 0.940
0.830 0.660 0.556
0.575 0.894 0.743
0.500 0.500 0.000
0.425 0.106 0.257
0.075 0.606 0.243
0.000 0.000 0.500
0.925 0.394 0.757
0.500 0.500 0.500
0.000 0.000 0.000
```

Properties
Energy relative to the elements, uncorrected in eV per atom: -0.58
ρ in g/cm³: 3.184
Total energy in eV/atom: -6.932
V in Å³ per cell: 381.8

Entry 2:
Below is a relaxed Sc2SiC crystal, with properties calculated at the PBE level.

```
Sc2SiC
1.0
6.590 0.000 0.000
0.000 6.590 0.000
3.295 3.295 3.111
Sc Si C
4 2 2
Direct
0.562 0.125 0.250
0.188 0.625 0.250
0.375 0.438 0.750
0.875 0.812 0.750
0.000 0.000 0.000
0.750 0.250 0.500
0.500 0.500 0.000
0.250 0.750 0.500
```

Properties
Energy relative to the elements, uncorrected in eV per atom: -0.12
ρ in g/cm³: 3.196
Total energy in eV/atom: -6.949
V in Å³ per cell: 135.1

Entry 3:
Below is a relaxed Sc3SiC crystal, with properties calculated at the PBE level.

```
Sc3SiC
1.0
-15.902 6.876 -16.409
-4.001 -3.121 2.570
5.147 -0.466 7.448
Sc Si C
12 4 4
Direct
0.286 0.929 0.926
0.714 0.071 0.074
0.214 0.429 0.574
0.786 0.571 0.426
0.361 0.408 0.273
0.639 0.592 0.727
0.139 0.908 0.227
0.861 0.092 0.773
0.392 0.876 0.546
0.608 0.124 0.454
0.108 0.376 0.954
0.892 0.624 0.046
0.024 0.154 0.460
0.976 0.846 0.540
0.476 0.654 0.040
0.524 0.346 0.960
0.523 0.752 0.655
0.477 0.248 0.345
0.977 0.252 0.845
0.023 0.748 0.155
```

Properties
Energy relative to the elements, uncorrected in eV per atom: -0.55
ρ in g/cm³: 3.300
Total energy in eV/atom: -7.280
V in Å³ per cell: 352.2

Entry 4:
Below is a relaxed Sc3SiC crystal, with properties calculated at the PBE level.

```
Sc3SiC
1.0
-0.727 1.934 -2.750
-2.025 -3.977 -4.412
-8.327 2.648 1.912
Sc C Si
6 2 2
Direct
0.931 0.087 0.713
0.715 0.701 0.531
0.551 0.163 0.397
0.546 0.687 0.885
0.352 0.727 0.233
0.149 0.325 0.040
0.133 0.937 0.460
0.959 0.682 0.062
0.809 0.990 0.055
0.270 0.430 0.692
```

Properties
Energy relative to the elements, uncorrected in eV per atom: -0.52
ρ in g/cm³: 3.203
Total energy in eV/atom: -7.243
V in Å³ per cell: 181.4